AcTb4: relaxed, PBE.

abc: 5.9059 5.9059 5.9059
angles: 90.00 90.00 90.00
Last column: nearest neighbours and their distance in Å.
Space group Pm-3m (No. 221)
One atom of each set of equivalent atoms:
Ac: 0.0000 0.0000 0.0000 (multiplicity 1)  6 Tb 2.95
Tb: 0.0000 0.0000 0.5000 (multiplicity 3)  2 Ac 2.95
Tb: 0.5000 0.5000 0.5000 (multiplicity 1)  12 Tb 4.18

Output
* energy above the most stable polymorph in this dataset: 456 kJ/mol of formula units
* calculated total energy: -3.541 eV per atom
* ΔE_f: 0.985 eV per atom

***

Ba2TcMo2: relaxed, PBE.

abc: 9.2318 9.2318 2.9853
angles: 90.00 90.00 90.00
Last column: nearest neighbours and their distance in Å.
Space group P4/mbm (No. 127)
One atom of each set of equivalent atoms:
Ba: 0.1416 0.3584 0.0000 (multiplicity 4)  6 Mo 2.90-3.23, 2 Ba 2.99
Tc: 0.0000 0.0000 0.0000 (multiplicity 2)  2 Tc 2.99
Mo: 0.1679 0.6679 0.5000 (multiplicity 4)  6 Ba 2.90-3.23, 2 Mo 2.99

Output
* energy above the most stable polymorph in this dataset: 501 kJ/mol of formula units
* calculated total energy: -4.999 eV per atom
* ΔE_f: 2.176 eV per atom

***

ZrCuCl2: relaxed, PBE.

abc: 3.7012 3.7012 10.4053
angles: 90.00 90.00 90.00
Last column: nearest neighbours and their distance in Å.
Space group I-4m2 (No. 119)
One atom of each set of equivalent atoms:
Zr: 0.0000 0.0000 0.0000 (multiplicity 2)  4 Cl 2.62
Cu: 0.0000 0.5000 0.2500 (multiplicity 2)  4 Cl 2.62
Cl: 0.0000 0.0000 0.5000 (multiplicity 2)  4 Zr 2.62
Cl: 0.0000 0.5000 0.7500 (multiplicity 2)  4 Cu 2.62

Output
* energy above the most stable polymorph in this dataset: 238 kJ/mol of formula units
* calculated total energy: -4.304 eV per atom
* formation energy from raw total energies: -0.220 eV per atom

***

HPdN2: relaxed, PBE.

abc: 5.0696 5.0696 5.0696
angles: 90.00 90.00 90.00
Last column: nearest neighbours and their distance in Å.
Space group Fm-3m (No. 225)
One atom of each set of equivalent atoms:
H: 0.0000 0.0000 0.0000 (multiplicity 4)  8 N 2.20
Pd: 0.0000 0.0000 0.5000 (multiplicity 4)  8 N 2.20
N: 0.2500 0.2500 0.2500 (multiplicity 8)  4 H 2.20, 4 Pd 2.20

Output
* energy above the most stable polymorph in this dataset: 353 kJ/mol of formula units
* calculated total energy: -4.540 eV per atom